A relaxed NiSnPdF2 crystal, computed with PBE with a Hubbard U.

Output
Mass density: 6.356 g cm⁻³
Calculated total energy: -16.85 eV/f.u.
Density of states at the Fermi level: 0.44 states/eV per atom
Space group: P4/mmm

Unit cell a=4.0626 b=5.0941 c=4.0626 alpha=90.00 beta=90.00 gamma=90.00
Fractional coordinates of all 5 atoms:
Sn: 0.5000 0.5000 0.5000
Pd: 0.0000 0.0000 0.0000
Ni: 0.0000 0.5000 0.0000
F: 0.0000 0.0000 0.5000
F: 0.5000 0.0000 0.0000